The following is a DFT calculation (PBE) of a geometry-optimized Ac2MnSi3Pt4 structure.

V ... 19.63 Å³/atom
Energy relative to the elements, uncorrected ... -0.94 eV/atom

a b c (Å): 4.410 4.410 10.097
angles (deg): 90.00 90.00 90.00
Space group P-4m2 (No. 115)
One atom of each set of equivalent atoms:
1 Ac 0.000 0.500 0.247
2 Mn 0.500 0.500 0.000
3 Si 0.000 0.000 0.000
4 Si 0.000 0.500 0.623
5 Pt 0.000 0.000 0.500
6 Pt 0.000 0.500 0.866
7 Pt 0.500 0.500 0.500